Here is Dy6GeSb3Se2 after structural relaxation from Alexandria. Energies are from GGA-PBE.

The total energy is -5.62 eV per atom. Its density is 7.991 g/cm³. Its uncorrected formation energy is -1.3238 eV per atom. As for the volume: 653 Å³/cell.

Cell and atoms, written as CIF:
```
data_Dy6GeSb3Se2
_chemical_formula_sum 'Dy12 Ge2 Sb6 Se4'
_space_group_name_H-M_alt 'C 1 2/m 1'
_space_group_IT_number 12
_cell_length_a 18.5340
_cell_length_b 4.2508
_cell_length_c 8.5197
_cell_angle_alpha 90.00
_cell_angle_beta 103.42
_cell_angle_gamma 90.00
loop_
_space_group_symop_operation_xyz
'x,y,z'
'-x,-y,-z'
'-x,y,-z'
'x,-y,z'
'x+1/2,y+1/2,z'
'-x+1/2,-y+1/2,-z'
'-x+1/2,y+1/2,-z'
'x+1/2,-y+1/2,z'
loop_
_atom_site_label
_atom_site_type_symbol
_atom_site_fract_x
_atom_site_fract_y
_atom_site_fract_z
_atom_site_occupancy
Dy1 Dy 0.0012 0.0000 0.2358 1
Dy2 Dy 0.1599 0.5000 0.0842 1
Dy3 Dy 0.1677 0.5000 0.5790 1
Ge1 Ge 0.0000 0.5000 0.0000 1
Sb1 Sb 0.0000 0.5000 0.5000 1
Sb2 Sb 0.1696 0.0000 0.8328 1
Se1 Se 0.1674 0.0000 0.3357 1
```

---

Here is Ca2MoPt after structural relaxation from Alexandria. Energies are from GGA-PBE.

The total energy is -5.13 eV per atom. Its density is 6.960 g/cm³. Its formation enthalpy at 0 K is 92 meV per atom. As for the volume: 177 Å³/cell. For the energy above the lowest structure with this stoichiometry, the calculation gives 0.141 eV per formula unit.

Cell and atoms, written as CIF:
```
data_Ca2MoPt
_chemical_formula_sum 'Ca4 Mo2 Pt2'
_space_group_name_H-M_alt 'C 1 m 1'
_space_group_IT_number 8
_cell_length_a 11.5519
_cell_length_b 2.9854
_cell_length_c 5.4768
_cell_angle_alpha 90.00
_cell_angle_beta 110.34
_cell_angle_gamma 90.00
loop_
_space_group_symop_operation_xyz
'x,y,z'
'x,-y,z'
'x+1/2,y+1/2,z'
'x+1/2,-y+1/2,z'
loop_
_atom_site_label
_atom_site_type_symbol
_atom_site_fract_x
_atom_site_fract_y
_atom_site_fract_z
_atom_site_occupancy
Ca1 Ca 0.0000 0.0000 0.0000 1
Ca2 Ca 0.1987 0.0000 0.6167 1
Mo1 Mo 0.4284 0.0000 0.4483 1
Pt1 Pt 0.2459 0.5000 0.1259 1
```